Record 1
Ce2MnBePd6 | PBE | optimized geometry

Results
ρ: 8.81 g cm⁻³
ΔE_f: -0.47 eV/atom
total energy: -6.066 eV/atom

a = 9.8684 Å, b = 5.7188 Å, c = 7.3857 Å
α = 90.00°, β = 117.25°, γ = 90.00°
Closest atoms and distances in Å follow each position.
Space group C2/m (No. 12)
Inequivalent atoms, fractional coordinates:
1 Ce 0.2252 0.0000 0.2871 [4 per cell]  7 Pd 2.86-3.08
2 Mn 0.0000 0.0000 0.5000 [2 per cell]  6 Pd 2.57-2.67
3 Be 0.0000 0.5000 0.0000 [2 per cell]  6 Pd 2.16-2.24
4 Pd 0.0836 0.2440 0.8434 [8 per cell]  1 Be 2.24
5 Pd 0.2092 0.5000 0.2828 [4 per cell]  1 Be 2.16

=====

Record 2
NdSmPtAu | PBE | optimized geometry

Results
ρ: 11.79 g cm⁻³
ΔE_f: -0.92 eV/atom
total energy: -5.624 eV/atom
excess energy over the best structure of this formula in the dataset: 69.0 meV per atom

a = 7.2860 Å, b = 7.2860 Å, c = 7.2860 Å
α = 90.00°, β = 90.00°, γ = 90.00°
Closest atoms and distances in Å follow each position.
Space group F-43m (No. 216)
Inequivalent atoms, fractional coordinates:
1 Nd 0.0000 0.0000 0.0000 [4 per cell]  4 Pt 3.15, 4 Au 3.15
2 Sm 0.0000 0.0000 0.5000 [4 per cell]  4 Au 3.15, 4 Pt 3.15
3 Pt 0.2500 0.2500 0.7500 [4 per cell]  4 Sm 3.15, 4 Nd 3.15
4 Au 0.2500 0.2500 0.2500 [4 per cell]  4 Nd 3.15, 4 Sm 3.15

=====

Record 3
Gd2YHo | PBE | optimized geometry

Results
ρ: 7.29 g cm⁻³
ΔE_f: 0.10 eV/atom
total energy: -9.701 eV/atom
excess energy over the best structure of this formula in the dataset: 73.1 meV per atom

a = 8.0312 Å, b = 8.0312 Å, c = 8.0312 Å
α = 90.00°, β = 90.00°, γ = 90.00°
Closest atoms and distances in Å follow each position.
Space group Fm-3m (No. 225)
Inequivalent atoms, fractional coordinates:
1 Gd 0.2500 0.2500 0.2500 [8 per cell]  4 Ho 3.48, 4 Y 3.48
2 Y 0.0000 0.0000 0.0000 [4 per cell]  8 Gd 3.48
3 Ho 0.0000 0.0000 0.5000 [4 per cell]  8 Gd 3.48

=====

Record 4
Rb3HoTh2Te6 | PBE | optimized geometry

Results
ρ: 5.97 g cm⁻³
formation energy from raw total energies: -1.224 eV per atom
total energy: -4.655 eV/atom

a = 7.8053 Å, b = 13.5145 Å, c = 9.0938 Å
α = 90.00°, β = 106.62°, γ = 90.00°
Closest atoms and distances in Å follow each position.
Space group C2/m (No. 12)
Inequivalent atoms, fractional coordinates:
1 Rb 0.0000 0.0000 0.0000 [2 per cell]  6 Te 3.63-3.68
2 Rb 0.0000 0.3314 0.0000 [4 per cell]  6 Te 3.63-3.67
3 Ho 0.0000 0.5000 0.5000 [2 per cell]  6 Te 3.12-3.13
4 Th 0.0000 0.1662 0.5000 [4 per cell]  6 Te 3.18-3.19
5 Te 0.2322 0.3363 0.7064 [8 per cell]  1 Ho 3.12, 2 Th 3.18-3.19
6 Te 0.2423 0.0000 0.7074 [4 per cell]  1 Ho 3.13, 2 Th 3.18